(1)
LiVSN2 | PBE | relaxed

Summary:
SG = P4/mmm (123)
total DFT energy (no corrections) = -5.07 eV per atom
volume = 57.3 Å³/cell

Unit cell a=3.543 b=3.543 c=4.565 alpha=90.00 beta=90.00 gamma=90.00
Fractional positions:
V 0.500 0.500 0.500
S 0.000 0.000 0.500
Li 0.000 0.000 0.000
N 0.500 0.000 0.000
N 0.000 0.500 0.000

***

(2)
LiVS2N | PBE | relaxed

Summary:
SG = P4/mmm (123)
total DFT energy (no corrections) = -5.82 eV per atom
volume = 81.5 Å³/cell

Unit cell a=4.707 b=4.707 c=3.677 alpha=90.00 beta=90.00 gamma=90.00
Fractional positions:
S 0.500 0.000 0.000
S 0.000 0.500 0.000
V 0.000 0.000 0.000
N 0.000 0.000 0.500
Li 0.500 0.500 0.500

***

(3)
LiVS2N | PBE | relaxed

Summary:
SG = P4/mmm (123)
total DFT energy (no corrections) = -4.60 eV per atom
volume = 64.8 Å³/cell

Unit cell a=4.362 b=4.362 c=3.403 alpha=90.00 beta=90.00 gamma=90.00
Fractional positions:
Li 0.000 0.000 0.000
S 0.000 0.500 0.000
S 0.500 0.000 0.000
N 0.000 0.000 0.500
V 0.500 0.500 0.500

***

(4)
LiWSN2 | PBE | relaxed

Summary:
SG = P4/mmm (123)
total DFT energy (no corrections) = -5.48 eV per atom
volume = 53.9 Å³/cell

Unit cell a=3.570 b=3.570 c=4.233 alpha=90.00 beta=90.00 gamma=90.00
Fractional positions:
S 0.000 0.000 0.500
Li 0.000 0.000 0.000
W 0.500 0.500 0.500
N 0.500 0.000 0.000
N 0.000 0.500 0.000

***

(5)
LiWSN2 | PBE | relaxed

Summary:
SG = P4/mmm (123)
total DFT energy (no corrections) = -7.22 eV per atom
volume = 75.9 Å³/cell

Unit cell a=3.898 b=3.898 c=4.992 alpha=90.00 beta=90.00 gamma=90.00
Fractional positions:
W 0.000 0.000 0.000
N 0.000 0.500 0.000
N 0.500 0.000 0.000
S 0.000 0.000 0.500
Li 0.500 0.500 0.500

***

(6)
LiYSN2 | PBE | relaxed

Summary:
SG = P4/mmm (123)
total DFT energy (no corrections) = -5.49 eV per atom
volume = 64.7 Å³/cell

Unit cell a=3.905 b=3.905 c=4.241 alpha=90.00 beta=90.00 gamma=90.00
Fractional positions:
N 0.000 0.500 0.000
N 0.500 0.000 0.000
Li 0.000 0.000 0.000
Y 0.500 0.500 0.500
S 0.000 0.000 0.500

***

Question: What is the volume in the second record?
Answer: 81.5 Å³/cell

***

Please write out number 1 again, unchanged.
LiVSN2 | PBE | relaxed

Summary:
SG = P4/mmm (123)
total DFT energy (no corrections) = -5.07 eV per atom
volume = 57.3 Å³/cell

Unit cell a=3.543 b=3.543 c=4.565 alpha=90.00 beta=90.00 gamma=90.00
Fractional positions:
V 0.500 0.500 0.500
S 0.000 0.000 0.500
Li 0.000 0.000 0.000
N 0.500 0.000 0.000
N 0.000 0.500 0.000